5
Lattice="4.279 0.000 0.000 0.000 4.279 0.000 0.000 0.000 4.279" Properties=species:S:1:pos:R:3 comment="FeNi3Te (meta-GGA SCAN, single point on PBEsol structure)" raw_formation_energy_kj_per_mol_atoms=82 magnetic_moment_mub_per_fu=4.90 pbc="T T T"
Te 2.139 2.139 2.139
Ni 2.139 0.000 0.000
Ni 0.000 2.139 0.000
Fe 0.000 0.000 0.000
Ni 0.000 0.000 2.139